The following is a DFT calculation (GGA-PBE) of a relaxed PrSm2Cu crystal.

The calculation puts the total magnetization at 0.00 μB/f.u. For the density of states at the Fermi level, the calculation gives 1.2876 states/eV/atom. The formation enthalpy at 0 K is 53 meV per atom. The distance to the lowest polymorph of the same formula comes out at 125 meV/atom.

Cell lengths 3.7262, 3.7262, 30.1195 Å; angles 90.00, 90.00, 120.00 degrees
Last column: nearest neighbours and their distance in Å.
Space group R3m (No. 160, hexagonal axes)
Inequivalent atoms, fractional coordinates:
Pr  0.0000  0.0000  0.0000 x3  6 Sm 3.71-3.72, 6 Pr 3.73
Sm  0.0000  0.0000  0.5659 x3  3 Cu 2.94
Sm  0.0000  0.0000  0.7672 x3  3 Cu 2.92
Cu  0.0000  0.0000  0.1662 x3  6 Sm 2.92-2.94